This record from the Alexandria database describes an optimized crystal structure of ZnTeMoO6. The functional is PBE+U.

## Properties
symmetry: No. 18
ΔE to the lowest computed polymorph: 0.000 eV/atom
magnetic moment: 0.000 μB/f.u.
crystal system: orthorhombic

Cell: 5.0968 5.3570 9.3072 Å, 90.00 90.00 90.00°
Closest atoms and distances in Å follow each position.
Fractional coordinates of all 18 atoms:
Zn (0.0000, 0.0000, 0.0248)  6 O 2.07-2.26
Zn (0.5000, 0.5000, 0.9752)  6 O 2.07-2.26
Te (0.0000, 0.5000, 0.2371)  4 O 1.93-2.12
Te (0.5000, 0.0000, 0.7629)  4 O 1.93-2.12
Mo (0.0000, 0.5000, 0.6973)  4 O 1.74-1.89
Mo (0.5000, 0.0000, 0.3027)  4 O 1.74-1.89
O (0.1560, 0.2871, 0.5853)  1 Mo 1.74
O (0.2213, 0.6735, 0.1020)  1 Te 1.93, 1 Zn 2.07
O (0.2358, 0.1789, 0.2034)  1 Mo 1.89
O (0.2642, 0.6789, 0.7966)  1 Mo 1.89
O (0.2787, 0.1735, 0.8980)  1 Te 1.93, 1 Zn 2.07
O (0.3440, 0.7871, 0.4147)  1 Mo 1.74
O (0.6560, 0.2129, 0.4147)  1 Mo 1.74
O (0.7213, 0.8265, 0.8980)  1 Te 1.93, 1 Zn 2.07
O (0.7358, 0.3211, 0.7966)  1 Mo 1.89
O (0.7642, 0.8211, 0.2034)  1 Mo 1.89
O (0.7787, 0.3265, 0.1020)  1 Te 1.93, 1 Zn 2.07
O (0.8440, 0.7129, 0.5853)  1 Mo 1.74